(1)
Computed, not measured: Tl12As3Se5 after structural relaxation at the PBE level of DFT.

Properties
- symmetry = Ia-3d, No. 230
- raw formation energy (eV/atom) = -0.08

Unit cell a=15.390 b=15.390 c=15.390 alpha=109.47 beta=109.47 gamma=109.47
Fractional positions:
Tl  0.057  0.226  0.143
Tl  0.057  0.331  0.914
Tl  0.083  0.726  0.669
Tl  0.083  0.857  0.414
Tl  0.086  0.643  0.417
Tl  0.086  0.943  0.669
Tl  0.143  0.057  0.226
Tl  0.143  0.586  0.917
Tl  0.169  0.226  0.583
Tl  0.169  0.443  0.586
Tl  0.226  0.143  0.057
Tl  0.226  0.583  0.169
Tl  0.274  0.331  0.917
Tl  0.274  0.443  0.357
Tl  0.331  0.914  0.057
Tl  0.331  0.917  0.274
Tl  0.357  0.274  0.443
Tl  0.357  0.583  0.914
Tl  0.414  0.083  0.857
Tl  0.414  0.831  0.557
Tl  0.417  0.086  0.643
Tl  0.417  0.831  0.774
Tl  0.443  0.357  0.274
Tl  0.443  0.586  0.169
Tl  0.557  0.414  0.831
Tl  0.557  0.643  0.726
Tl  0.583  0.169  0.226
Tl  0.583  0.914  0.357
Tl  0.586  0.169  0.443
Tl  0.586  0.917  0.143
Tl  0.643  0.417  0.086
Tl  0.643  0.726  0.557
Tl  0.669  0.083  0.726
Tl  0.669  0.086  0.943
Tl  0.726  0.557  0.643
Tl  0.726  0.669  0.083
Tl  0.774  0.417  0.831
Tl  0.774  0.857  0.943
Tl  0.831  0.557  0.414
Tl  0.831  0.774  0.417
Tl  0.857  0.414  0.083
Tl  0.857  0.943  0.774
Tl  0.914  0.057  0.331
Tl  0.914  0.357  0.583
Tl  0.917  0.143  0.586
Tl  0.917  0.274  0.331
Tl  0.943  0.669  0.086
Tl  0.943  0.774  0.857
As  0.125  0.250  0.375
As  0.125  0.375  0.750
As  0.250  0.375  0.125
As  0.250  0.875  0.625
As  0.375  0.125  0.250
As  0.375  0.750  0.125
As  0.625  0.250  0.875
As  0.625  0.875  0.750
As  0.750  0.125  0.375
As  0.750  0.625  0.875
As  0.875  0.625  0.250
As  0.875  0.750  0.625
Se  0.000  0.000  0.000
Se  0.000  0.000  0.500
Se  0.000  0.500  0.000
Se  0.000  0.500  0.500
Se  0.125  0.750  0.875
Se  0.125  0.875  0.250
Se  0.250  0.125  0.875
Se  0.250  0.625  0.375
Se  0.375  0.250  0.625
Se  0.375  0.625  0.750
Se  0.500  0.000  0.000
Se  0.500  0.000  0.500
Se  0.500  0.500  0.000
Se  0.500  0.500  0.500
Se  0.625  0.375  0.250
Se  0.625  0.750  0.375
Se  0.750  0.375  0.625
Se  0.750  0.875  0.125
Se  0.875  0.125  0.750
Se  0.875  0.250  0.125



(2)
Computed, not measured: CePuHgPb after structural relaxation at the PBE level of DFT.

Properties
- ΔE_f (meV/atom) = -236
- symmetry = F-43m, No. 216

Unit cell a=5.458 b=5.458 c=5.458 alpha=60.00 beta=60.00 gamma=60.00
Fractional positions:
Ce  0.000  0.000  0.000
Pu  0.500  0.500  0.500
Hg  0.250  0.250  0.250
Pb  0.750  0.750  0.750



(3)
Computed, not measured: Th2MgN after structural relaxation at the PBE level of DFT.

Properties
- symmetry = R-3m, No. 166
- raw formation energy (eV/atom) = -0.40

Unit cell a=10.115 b=10.115 c=10.115 alpha=19.69 beta=19.69 gamma=19.69
Fractional positions:
Th  0.116  0.116  0.116
Th  0.884  0.884  0.884
Mg  0.000  0.000  0.000
N  0.500  0.500  0.500



(4)
Computed, not measured: Pr4RuPb2 after structural relaxation at the PBE level of DFT.

Properties
- ΔE_f (meV/atom) = -274
- symmetry = I4/mmm, No. 139
- ΔE to the lowest computed polymorph (eV/atom) = 0.1394

Unit cell a=9.382 b=9.382 c=9.382 alpha=147.61 beta=147.61 gamma=46.46
Fractional positions:
Pr  0.000  0.500  0.500
Pr  0.175  0.175  0.000
Pr  0.500  0.000  0.500
Pr  0.825  0.825  0.000
Ru  0.000  0.000  0.000
Pb  0.362  0.362  0.000
Pb  0.638  0.638  0.000



(5)
Computed, not measured: TbCuI2 after structural relaxation at the PBE level of DFT.

Properties
- symmetry = R-3m, No. 166
- raw formation energy (eV/atom) = -0.18

Unit cell a=9.501 b=9.501 c=9.501 alpha=24.50 beta=24.50 gamma=24.50
Fractional positions:
Tb  0.000  0.000  0.000
Cu  0.500  0.500  0.500
I  0.109  0.109  0.109
I  0.891  0.891  0.891



(6)
Computed, not measured: PaIn2Bi after structural relaxation at the PBE level of DFT.

Properties
- ΔE_f (meV/atom) = 91
- symmetry = P4/mmm, No. 123
- ΔE to the lowest computed polymorph (eV/atom) = 0.2369

Unit cell a=4.070 b=4.070 c=6.543 alpha=90.00 beta=90.00 gamma=90.00
Fractional positions:
Pa  0.000  0.000  0.000
In  0.500  0.500  0.252
In  0.500  0.500  0.748
Bi  0.000  0.000  0.500



(7)
Computed, not measured: Sr2TbCu2O6 after structural relaxation at the PBE level of DFT.

Properties
- symmetry = R-3m, No. 166
- raw formation energy (eV/atom) = -1.87

Unit cell a=6.769 b=6.769 c=6.769 alpha=52.05 beta=52.05 gamma=52.05
Fractional positions:
Sr  0.204  0.204  0.204
Sr  0.796  0.796  0.796
Tb  0.000  0.000  0.000
Cu  0.422  0.422  0.422
Cu  0.578  0.578  0.578
O  0.223  0.753  0.753
O  0.247  0.247  0.777
O  0.247  0.777  0.247
O  0.753  0.223  0.753
O  0.753  0.753  0.223
O  0.777  0.247  0.247



(8)
Computed, not measured: Ge2AsRhSe after structural relaxation at the PBE level of DFT.

Properties
- symmetry = P4/mmm, No. 123
- raw formation energy (eV/atom) = 0.75

Unit cell a=5.101 b=5.101 c=4.572 alpha=90.00 beta=90.00 gamma=90.00
Fractional positions:
Ge  0.000  0.500  0.000
Ge  0.500  0.000  0.000
As  0.000  0.000  0.500
Rh  0.500  0.500  0.500
Se  0.500  0.500  0.000